# 1
! ZrAu2Br, optimized geometry, DFT PBE; values from VASP
! energy above the most stable polymorph in this dataset: 0 meV per atom
! density of states at the Fermi level: 0.347 states/eV per atom
! magnetization: 0.00 μB/atom
! final energy: -4.6486 eV per atom
&SYSTEM
  ibrav = 0, nat = 4, ntyp = 3
/
ATOMIC_SPECIES
Br 79.90 Br.upf
Zr 91.22 Zr.upf
Au 196.97 Au.upf
CELL_PARAMETERS angstrom
-2.253 4.159 1.226
-4.500 1.701 0.857
-0.121 -0.969 7.207
ATOMIC_POSITIONS crystal
Br 0.632 0.632 0.458
Zr 0.220 0.220 0.168
Au 0.955 0.955 0.020
Au 0.693 0.693 0.853

# 2
! CsRbInAu, optimized geometry, DFT PBE; values from VASP
! energy relative to the elements: -0.198 eV per atom
! density of states at the Fermi level: 0.611 states/eV per atom
! magnetization: 0.00 μB/atom
! final energy: -2.1570 eV per atom
&SYSTEM
  ibrav = 0, nat = 4, ntyp = 4
/
ATOMIC_SPECIES
Au 196.97 Au.upf
Cs 132.91 Cs.upf
Rb 85.47 Rb.upf
In 114.82 In.upf
CELL_PARAMETERS angstrom
-4.221 -2.402 0.829
4.195 -2.446 -0.833
3.329 2.400 9.257
ATOMIC_POSITIONS crystal
Au 0.834 0.285 0.119
Cs 0.354 0.039 0.393
Rb 0.001 0.864 0.865
In 0.503 0.616 0.119